PBE with a Hubbard U YW2NO, relaxed; size of the total moment = 8.041 Bohr magnetons per cell; final energy = -22.80 eV/cell; DOS(E_F) = 0.975 states/eV per atom; theoretical density = 5.43 g/cm³; calculated volume = 29.734 Å³/atom
1.0
6.0160 0.0000 0.0000
0.0000 6.0160 0.0000
0.0000 0.0000 4.1077
Y W N O
1 2 1 1
Direct
0.0000 0.0000 0.0000 Y
0.0000 0.5000 0.0000 W
0.5000 0.0000 0.0000 W
0.0000 0.0000 0.5000 N
0.5000 0.5000 0.5000 O